Entry from Alexandria via LeMat-Bulk: a relaxed LiMnAs2O crystal (PBE with a Hubbard U). Values from VASP.

Cell and atoms, written as Quantum ESPRESSO input:
```
&SYSTEM
  ibrav = 0, nat = 5, ntyp = 4
/
ATOMIC_SPECIES
Li 6.94 Li.upf
Mn 54.94 Mn.upf
As 74.92 As.upf
O 16.00 O.upf
CELL_PARAMETERS angstrom
4.645 0.000 0.000
0.000 4.645 0.000
0.000 0.000 4.017
ATOMIC_POSITIONS angstrom
Li 0.000 0.000 0.000
Mn 2.323 2.323 0.000
As 0.000 2.323 2.009
As 2.323 0.000 2.009
O 2.323 2.323 2.009
```

Values from the calculation:
As for the magnetic moment: 4.52 μB per formula unit. Its total energy is -4.9134 eV/atom.